The following is a DFT calculation (PBE-GGA) of crystalline NaLi12Hg6 at its relaxed geometry.

Cell and atoms, written as POSCAR:
```
NaLi12Hg6
1.0
7.308 -0.030 -2.335
-3.189 6.576 -2.335
-0.019 -0.030 7.672
Na Li Hg
1 12 6
Cartesian
0.000 0.000 0.000 Na
2.742 1.237 2.854 Li
-0.421 3.735 1.752 Li
2.699 3.007 -0.930 Li
1.359 5.280 0.148 Li
4.521 2.782 1.251 Li
1.401 3.510 3.932 Li
1.624 0.890 5.346 Li
-1.026 4.668 4.522 Li
5.716 1.095 3.069 Li
2.477 5.627 -2.344 Li
5.126 1.849 -1.520 Li
-1.615 5.422 -0.067 Li
-0.162 1.353 3.033 Hg
4.111 3.369 4.073 Hg
0.820 6.078 2.689 Hg
4.263 5.164 -0.030 Hg
-0.010 3.147 -1.071 Hg
3.280 0.439 0.314 Hg
```

* E: -1.595 eV per atom
* E_form: -0.22 eV per atom
* energy relative to the lowest polymorph listed for this composition: 0.013 eV/atom
* space group: R-3 (148)

---

The following is a DFT calculation (PBE-GGA) of crystalline Na2LiHg6 at its relaxed geometry.

Cell and atoms, written as POSCAR:
```
Na2LiHg6
1.0
-1.138 1.982 -2.316
0.065 -6.724 -5.785
-8.239 3.429 2.722
Na Li Hg
2 1 6
Cartesian
-3.463 -2.018 -4.494 Na
-5.849 0.705 -0.885 Na
0.000 0.000 0.000 Li
-2.879 -0.776 -1.374 Hg
-6.412 -2.754 -5.914 Hg
-6.433 -0.537 -4.006 Hg
-0.547 -1.235 -3.073 Hg
-2.900 1.442 0.534 Hg
-0.525 -3.507 -5.028 Hg
```

* E: -0.925 eV per atom
* E_form: -0.22 eV per atom
* space group: C2/m (12)

---

The following is a DFT calculation (PBE-GGA) of crystalline Na2LiHg3 at its relaxed geometry.

Cell and atoms, written as POSCAR:
```
Na2LiHg3
1.0
3.434 0.000 0.000
0.000 3.434 0.000
0.000 0.000 11.978
Na Li Hg
2 1 3
Cartesian
1.717 1.717 9.737 Na
1.717 1.717 2.241 Na
1.717 1.717 5.989 Li
0.000 0.000 0.000 Hg
0.000 0.000 7.575 Hg
0.000 0.000 4.404 Hg
```

* E: -1.192 eV per atom
* E_form: -0.28 eV per atom
* energy relative to the lowest polymorph listed for this composition: 0.000 eV/atom
* space group: P4/mmm (123)

---

The following is a DFT calculation (PBE-GGA) of crystalline NaLiHg at its relaxed geometry.

Cell and atoms, written as POSCAR:
```
NaLiHg
1.0
-1.082 3.010 1.744
-3.410 -0.557 -1.155
1.235 -4.130 4.090
Na Hg Li
1 1 1
Cartesian
-0.011 -0.031 0.046 Na
-2.642 0.089 2.011 Hg
-0.604 -1.736 2.622 Li
```

* E: -1.385 eV per atom
* E_form: -0.21 eV per atom
* energy relative to the lowest polymorph listed for this composition: 0.013 eV/atom
* space group: I4mm (107)

---

The following is a DFT calculation (PBE-GGA) of crystalline Na5LiHg6 at its relaxed geometry.

Cell and atoms, written as POSCAR:
```
Na5LiHg6
1.0
-2.613 -0.194 4.415
-5.752 -3.174 -3.544
4.422 -6.900 -0.999
Na Hg Li
5 6 1
Cartesian
-3.102 -4.081 0.828 Na
2.025 -4.587 0.821 Na
-2.876 -1.587 -1.772 Na
-5.968 -5.681 -0.949 Na
-0.841 -6.187 -0.956 Na
-3.571 -7.363 0.371 Hg
-0.528 -5.685 2.245 Hg
-2.617 -0.820 1.400 Hg
-1.326 -9.448 -1.528 Hg
-3.414 -4.583 -2.374 Hg
-0.372 -2.904 -0.499 Hg
0.000 0.000 0.000 Li
```

* E: -1.114 eV per atom
* E_form: -0.25 eV per atom
* space group: P2/m (10)

---

The following is a DFT calculation (PBE-GGA) of crystalline Na6LiHg2 at its relaxed geometry.

Cell and atoms, written as POSCAR:
```
Na6LiHg2
1.0
-2.139 2.895 4.077
1.914 -0.596 5.055
6.804 8.271 1.324
Na Li Hg
6 1 2
Cartesian
1.707 3.558 5.624 Na
3.709 6.590 8.148 Na
5.976 9.063 7.582 Na
2.871 3.980 2.308 Na
4.873 7.012 4.832 Na
0.604 1.507 2.874 Na
0.000 0.000 0.000 Li
1.593 4.281 8.677 Hg
4.987 6.288 1.779 Hg
```

* E: -1.287 eV per atom
* E_form: -0.13 eV per atom
* space group: R-3m (166)

---

Copy entry 3 word for word.
The following is a DFT calculation (PBE-GGA) of crystalline Na2LiHg3 at its relaxed geometry.

Cell and atoms, written as POSCAR:
```
Na2LiHg3
1.0
3.434 0.000 0.000
0.000 3.434 0.000
0.000 0.000 11.978
Na Li Hg
2 1 3
Cartesian
1.717 1.717 9.737 Na
1.717 1.717 2.241 Na
1.717 1.717 5.989 Li
0.000 0.000 0.000 Hg
0.000 0.000 7.575 Hg
0.000 0.000 4.404 Hg
```

* E: -1.192 eV per atom
* E_form: -0.28 eV per atom
* energy relative to the lowest polymorph listed for this composition: 0.000 eV/atom
* space group: P4/mmm (123)

---

> Among the records above, which one has the highest E?

Na2LiHg6